i:
Density functional theory data (GGA+U) for a geometry-optimized MgCoF structure.

CIF file:
```
data_MgCoF
_cell_length_a 7.076
_cell_length_b 3.166
_cell_length_c 3.613
_cell_angle_alpha 90.00
_cell_angle_beta 90.01
_cell_angle_gamma 89.77
_symmetry_space_group_name_H-M 'P 1'
_symmetry_Int_Tables_number 1
_symmetry_space_group_name_Hall 'P 1'
loop_
_atom_site_label
_atom_site_fract_x
_atom_site_fract_y
_atom_site_fract_z
Co1 0.195 0.030 0.737
Co2 0.265 0.530 0.237
F1 0.753 0.530 0.736
F2 0.707 0.031 0.236
Mg1 0.559 0.032 0.736
Mg2 0.901 0.529 0.236
```

Results
total magnetic moment = 3.88 μB per cell

***

ii:
Density functional theory data (GGA+U) for a geometry-optimized MgCoF structure.

CIF file:
```
data_MgCoF
_cell_length_a 12.705
_cell_length_b 2.988
_cell_length_c 2.988
_cell_angle_alpha 60.03
_cell_angle_beta 83.18
_cell_angle_gamma 76.38
_symmetry_space_group_name_H-M 'P 1'
_symmetry_Int_Tables_number 1
_symmetry_space_group_name_Hall 'P 1'
loop_
_atom_site_label
_atom_site_fract_x
_atom_site_fract_y
_atom_site_fract_z
F1 0.000 0.704 0.516
F2 0.594 0.444 0.845
Mg1 0.689 0.015 0.511
Mg2 0.083 0.955 0.848
Co1 0.401 0.637 0.846
Co2 0.261 0.110 0.181
```

Results
total magnetic moment = 3.99 μB per cell

***

iii:
Density functional theory data (GGA+U) for a geometry-optimized MgCoF structure.

CIF file:
```
data_MgCoF
_cell_length_a 3.548
_cell_length_b 3.548
_cell_length_c 7.090
_cell_angle_alpha 90.00
_cell_angle_beta 90.00
_cell_angle_gamma 90.00
_symmetry_space_group_name_H-M 'P 1'
_symmetry_Int_Tables_number 1
_symmetry_space_group_name_Hall 'P 1'
loop_
_atom_site_label
_atom_site_fract_x
_atom_site_fract_y
_atom_site_fract_z
F1 0.500 0.500 0.500
F2 0.000 0.000 0.500
Mg1 0.500 0.000 0.115
Mg2 0.000 0.500 0.885
Co1 0.000 0.500 0.321
Co2 0.500 0.000 0.679
```

Results
total magnetic moment = 4.64 μB per cell

***

What should be chosen as the most stable of them? Choose i.

***

i:
Density functional theory data (GGA+U) for a geometry-optimized MgCoF structure.

CIF file:
```
data_MgCoF
_cell_length_a 4.773
_cell_length_b 3.217
_cell_length_c 12.430
_cell_angle_alpha 90.00
_cell_angle_beta 90.00
_cell_angle_gamma 90.00
_symmetry_space_group_name_H-M 'P 1'
_symmetry_Int_Tables_number 1
_symmetry_space_group_name_Hall 'P 1'
loop_
_atom_site_label
_atom_site_fract_x
_atom_site_fract_y
_atom_site_fract_z
Co1 0.309 0.250 0.291
Co2 0.809 0.250 0.209
Co3 0.191 0.750 0.791
Co4 0.691 0.750 0.709
Mg1 0.261 0.250 0.067
Mg2 0.739 0.750 0.933
Mg3 0.761 0.250 0.433
Mg4 0.239 0.750 0.567
F1 0.517 0.750 0.077
F2 0.483 0.250 0.923
F3 0.017 0.750 0.423
F4 0.983 0.250 0.577
```

Results
total magnetic moment = 8.33 μB per cell

***

ii:
Density functional theory data (GGA+U) for a geometry-optimized MgCoF structure.

CIF file:
```
data_MgCoF
_cell_length_a 4.031
_cell_length_b 4.031
_cell_length_c 4.031
_cell_angle_alpha 60.00
_cell_angle_beta 60.00
_cell_angle_gamma 60.00
_symmetry_space_group_name_H-M 'P 1'
_symmetry_Int_Tables_number 1
_symmetry_space_group_name_Hall 'P 1'
loop_
_atom_site_label
_atom_site_fract_x
_atom_site_fract_y
_atom_site_fract_z
F1 0.000 0.000 0.000
Co1 0.250 0.250 0.250
Mg1 0.750 0.750 0.750
```

Results
total magnetic moment = 2.10 μB per cell

***

What should be chosen as the most stable of them? Choose i.